No. 1
# CoCuB2

An optimized crystal structure of CoCuB2 (PBEsol, Alexandria).

Computed properties:
Symmetry: Fm-3m, No. 225
Spin magnetization in μB per atom: 0.00
V in A^3/atom: 7.92
Density of states at the Fermi level in states/eV per atom: 0.5136
ΔH_f (0 K) in eV/atom: 0.303

Cell: 3.552 3.552 3.552 Å, 60.00 60.00 60.00°
Element x y z (fractional)
Co 0.000 0.000 0.000
Cu 0.500 0.500 0.500
B 0.250 0.250 0.250
B 0.750 0.750 0.750

---

No. 2
# Ba2NdDyTi2Cu2O11

An optimized crystal structure of Ba2NdDyTi2Cu2O11 (PBEsol, Alexandria).

Computed properties:
Symmetry: P4/mmm, No. 123
Spin magnetization in μB per atom: 0.00
V in A^3/atom: 12.30
Formation energy (no corrections) in kcal/mol of atoms: -62.24
Density of states at the Fermi level in states/eV per atom: 0.1254

Cell: 3.866 3.866 15.637 Å, 90.00 90.00 90.00°
Element x y z (fractional)
Ba 0.000 0.000 0.230
Ba 0.000 0.000 0.770
Nd 0.000 0.000 0.500
Dy 0.000 0.000 0.000
Ti 0.500 0.500 0.372
Ti 0.500 0.500 0.628
Cu 0.500 0.500 0.100
Cu 0.500 0.500 0.900
O 0.000 0.500 0.090
O 0.000 0.500 0.386
O 0.000 0.500 0.614
O 0.000 0.500 0.910
O 0.500 0.000 0.090
O 0.500 0.000 0.386
O 0.500 0.000 0.614
O 0.500 0.000 0.910
O 0.500 0.500 0.253
O 0.500 0.500 0.500
O 0.500 0.500 0.747

---

No. 3
# Ca2CoRu

An optimized crystal structure of Ca2CoRu (PBEsol, Alexandria).

Computed properties:
Symmetry: P4/mmm, No. 123
Spin magnetization in μB per atom: 0.46
V in A^3/atom: 18.91
Density of states at the Fermi level in states/eV per atom: 1.3179
ΔH_f (0 K) in eV/atom: 0.603

Cell: 3.535 3.535 6.055 Å, 90.00 90.00 90.00°
Element x y z (fractional)
Ca 0.000 0.000 0.249
Ca 0.000 0.000 0.751
Co 0.500 0.500 0.500
Ru 0.500 0.500 0.000

---

No. 4
# RhCl4

An optimized crystal structure of RhCl4 (PBEsol, Alexandria).

Computed properties:
Symmetry: Im-3m, No. 229
Spin magnetization in μB per atom: 0.00
V in A^3/atom: 19.84
Formation energy (no corrections) in kcal/mol of atoms: 4.32
Density of states at the Fermi level in states/eV per atom: 0.8729

Cell: 5.051 5.051 5.051 Å, 109.47 109.47 109.47°
Element x y z (fractional)
Rh 0.000 0.000 0.000
Cl 0.000 0.000 0.500
Cl 0.000 0.500 0.000
Cl 0.500 0.000 0.000
Cl 0.500 0.500 0.500

---

No. 5
# SiSb2Te

An optimized crystal structure of SiSb2Te (PBEsol, Alexandria).

Computed properties:
Symmetry: F-43m, No. 216
Spin magnetization in μB per atom: 0.00
V in A^3/atom: 24.03
Formation energy (no corrections) in kcal/mol of atoms: 8.35
Density of states at the Fermi level in states/eV per atom: 0.6114

Cell: 5.141 5.141 5.141 Å, 60.00 60.00 60.00°
Element x y z (fractional)
Si 0.000 0.000 0.000
Sb 0.500 0.500 0.500
Sb 0.750 0.750 0.750
Te 0.250 0.250 0.250

---

No. 6
# AlNi6Pd

An optimized crystal structure of AlNi6Pd (PBEsol, Alexandria).

Computed properties:
Symmetry: P4/mmm, No. 123
Spin magnetization in μB per atom: 0.28
V in A^3/atom: 11.17
Density of states at the Fermi level in states/eV per atom: 1.3968
ΔH_f (0 K) in eV/atom: -0.191

Cell: 3.554 3.554 7.071 Å, 90.00 90.00 90.00°
Element x y z (fractional)
Al 0.000 0.000 0.000
Ni 0.000 0.500 0.243
Ni 0.000 0.500 0.757
Ni 0.500 0.000 0.243
Ni 0.500 0.000 0.757
Ni 0.500 0.500 0.000
Ni 0.500 0.500 0.500
Pd 0.000 0.000 0.500

---

No. 7
# SrCdHg2

An optimized crystal structure of SrCdHg2 (PBEsol, Alexandria).

Computed properties:
Symmetry: Pm, No. 6
Spin magnetization in μB per atom: 0.00
V in A^3/atom: 27.04
Density of states at the Fermi level in states/eV per atom: 0.4661
ΔH_f (0 K) in eV/atom: -0.325

Cell: 3.694 5.022 5.831 Å, 90.00 90.39 90.00°
Element x y z (fractional)
Sr 0.000 0.000 0.000
Cd 0.505 0.500 0.271
Hg 0.497 0.500 0.772
Hg 0.499 0.000 0.503

---

No. 8
# In2TcRh

An optimized crystal structure of In2TcRh (PBEsol, Alexandria).

Computed properties:
Symmetry: Pmm2, No. 25
Spin magnetization in μB per atom: 0.00
V in A^3/atom: 16.86
Density of states at the Fermi level in states/eV per atom: 1.1055
ΔH_f (0 K) in eV/atom: 0.170

Cell: 2.923 3.951 5.840 Å, 90.00 90.00 90.00°
Element x y z (fractional)
In 0.000 0.000 0.000
In 0.500 0.500 0.309
Tc 0.500 0.500 0.778
Rh 0.000 0.000 0.531

---

No. 9
# MnRe2Mo

An optimized crystal structure of MnRe2Mo (PBEsol, Alexandria).

Computed properties:
Symmetry: Cmm2, No. 35
Spin magnetization in μB per atom: 0.38
V in A^3/atom: 14.01
Density of states at the Fermi level in states/eV per atom: 0.8219
ΔH_f (0 K) in eV/atom: 0.181

Cell: 2.650 2.650 8.424 Å, 90.00 90.00 108.59°
Element x y z (fractional)
Mn 0.000 0.000 0.000
Re 0.000 0.000 0.502
Re 0.500 0.500 0.766
Mo 0.500 0.500 0.239

---

No. 10
# CuTeSeBr

An optimized crystal structure of CuTeSeBr (PBEsol, Alexandria).

Computed properties:
Symmetry: P2_1/c, No. 14
Spin magnetization in μB per atom: 0.00
V in A^3/atom: 26.00
Formation energy (no corrections) in kcal/mol of atoms: -4.43

Cell: 8.105 4.751 12.049 Å, 90.00 116.31 90.00°
Element x y z (fractional)
Cu 0.191 0.125 0.251
Cu 0.191 0.375 0.751
Cu 0.809 0.625 0.249
Cu 0.809 0.875 0.749
Te 0.279 0.004 0.640
Te 0.279 0.496 0.140
Te 0.721 0.504 0.860
Te 0.721 0.996 0.360
Se 0.422 0.717 0.849
Se 0.422 0.783 0.349
Se 0.578 0.217 0.651
Se 0.578 0.283 0.151
Br 0.086 0.144 0.887
Br 0.086 0.356 0.387
Br 0.914 0.644 0.613
Br 0.914 0.856 0.113

---

No. 11
# Mn2CdIn

An optimized crystal structure of Mn2CdIn (PBEsol, Alexandria).

Computed properties:
Symmetry: I4/mmm, No. 139
Spin magnetization in μB per atom: 1.50
V in A^3/atom: 16.17
Density of states at the Fermi level in states/eV per atom: 0.7329
ΔH_f (0 K) in eV/atom: 0.314

Cell: 4.807 4.807 4.807 Å, 129.38 129.38 74.39°
Element x y z (fractional)
Mn 0.250 0.750 0.500
Mn 0.750 0.250 0.500
Cd 0.000 0.000 0.000
In 0.500 0.500 0.000

---

No. 12
# PPbI2O

An optimized crystal structure of PPbI2O (PBEsol, Alexandria).

Computed properties:
Symmetry: P4/mmm, No. 123
Spin magnetization in μB per atom: 0.00
V in A^3/atom: 24.28
Formation energy (no corrections) in kcal/mol of atoms: -6.66
Density of states at the Fermi level in states/eV per atom: 0.3462

Cell: 5.815 5.815 3.591 Å, 90.00 90.00 90.00°
Element x y z (fractional)
P 0.000 0.000 0.000
Pb 0.500 0.500 0.500
I 0.000 0.500 0.000
I 0.500 0.000 0.000
O 0.000 0.000 0.500

---

> V of number 10 (CuTeSeBr)?

26.00 A^3/atom

---

> spin magnetization of number 4 (RhCl4)?

0.00 μB per atom